No. 1
# Li2TaNbAg

A geometry-optimized Li2TaNbAg structure (PBE, the Alexandria database).

Results
* electronic total energy: -4.728 eV per atom

Structure (CIF):
```
data_Li2TaNbAg
_cell_length_a 4.190
_cell_length_b 4.190
_cell_length_c 5.367
_cell_angle_alpha 90.00
_cell_angle_beta 90.00
_cell_angle_gamma 90.00
_symmetry_space_group_name_H-M 'P 4/m m m'
_symmetry_Int_Tables_number 123
_symmetry_space_group_name_Hall '-P 4 2'
loop_
_atom_site_label
_atom_site_type_symbol
_atom_site_fract_x
_atom_site_fract_y
_atom_site_fract_z
Li1 Li 0.000 0.500 0.000
Ta1 Ta 0.000 0.000 0.500
Nb1 Nb 0.500 0.500 0.500
Ag1 Ag 0.500 0.500 0.000
```

No. 2
# Ca5HgAu2

A geometry-optimized Ca5HgAu2 structure (PBE, the Alexandria database).

Results
* electronic total energy: -2.737 eV per atom

Structure (CIF):
```
data_Ca5HgAu2
_cell_length_a 8.036
_cell_length_b 8.036
_cell_length_c 14.468
_cell_angle_alpha 90.00
_cell_angle_beta 90.00
_cell_angle_gamma 90.00
_symmetry_space_group_name_H-M 'I 4/m c m'
_symmetry_Int_Tables_number 140
_symmetry_space_group_name_Hall '-I 4 2c'
loop_
_atom_site_label
_atom_site_type_symbol
_atom_site_fract_x
_atom_site_fract_y
_atom_site_fract_z
Ca1 Ca 0.000 0.000 0.000
Ca2 Ca 0.165 0.335 0.142
Hg1 Hg 0.000 0.000 0.250
Au1 Au 0.132 0.368 0.500
```

No. 3
# LiAgOsS2

A geometry-optimized LiAgOsS2 structure (PBE, the Alexandria database).

Results
* raw formation energy: 6.26 eV/f.u.

Structure (CIF):
```
data_LiAgOsS2
_cell_length_a 4.801
_cell_length_b 4.801
_cell_length_c 4.283
_cell_angle_alpha 90.00
_cell_angle_beta 90.00
_cell_angle_gamma 90.00
_symmetry_space_group_name_H-M 'P 4/m m m'
_symmetry_Int_Tables_number 123
_symmetry_space_group_name_Hall '-P 4 2'
loop_
_atom_site_label
_atom_site_type_symbol
_atom_site_fract_x
_atom_site_fract_y
_atom_site_fract_z
Li1 Li 0.000 0.000 0.000
Ag1 Ag 0.000 0.000 0.500
Os1 Os 0.500 0.500 0.000
S1 S 0.000 0.500 0.500
```

No. 4
# K2RbTeS4

A geometry-optimized K2RbTeS4 structure (PBE, the Alexandria database).

Results
* raw formation energy: -4.99 eV/f.u.

Structure (CIF):
```
data_K2RbTeS4
_cell_length_a 8.223
_cell_length_b 9.024
_cell_length_c 9.294
_cell_angle_alpha 90.51
_cell_angle_beta 116.24
_cell_angle_gamma 117.09
_symmetry_space_group_name_H-M 'P 1'
_symmetry_Int_Tables_number 1
loop_
_symmetry_equiv_pos_as_xyz
'x,y,z'
loop_
_atom_site_label
_atom_site_type_symbol
_atom_site_fract_x
_atom_site_fract_y
_atom_site_fract_z
K1 K 0.000 0.000 0.000
K2 K 0.016 0.488 0.063
K3 K 0.485 0.999 0.999
K4 K 0.520 0.984 0.567
Rb1 Rb 0.500 0.498 0.499
Rb2 Rb 0.984 0.499 0.501
Te1 Te 0.421 0.433 0.923
Te2 Te 0.921 0.941 0.415
S1 S 0.029 0.801 0.286
S2 S 0.044 0.294 0.793
S3 S 0.486 0.316 0.168
S4 S 0.495 0.700 0.803
S5 S 0.524 0.292 0.790
S6 S 0.544 0.800 0.285
S7 S 0.981 0.195 0.283
S8 S 0.996 0.837 0.671
```

No. 5
# NdPd4Au8

A geometry-optimized NdPd4Au8 structure (PBE, the Alexandria database).

Results
* electronic total energy: -4.266 eV per atom

Structure (CIF):
```
data_NdPd4Au8
_cell_length_a 9.309
_cell_length_b 9.309
_cell_length_c 5.623
_cell_angle_alpha 90.00
_cell_angle_beta 90.00
_cell_angle_gamma 90.00
_symmetry_space_group_name_H-M 'I 4/m m m'
_symmetry_Int_Tables_number 139
_symmetry_space_group_name_Hall '-I 4 2'
loop_
_atom_site_label
_atom_site_type_symbol
_atom_site_fract_x
_atom_site_fract_y
_atom_site_fract_z
Nd1 Nd 0.000 0.000 0.000
Pd1 Pd 0.250 0.250 0.250
Au1 Au 0.000 0.217 0.500
Au2 Au 0.000 0.339 0.000
```

No. 6
# Th5As4Au

A geometry-optimized Th5As4Au structure (PBE, the Alexandria database).

Results
* electronic total energy: -7.108 eV per atom

Structure (CIF):
```
data_Th5As4Au
_cell_length_a 4.230
_cell_length_b 6.048
_cell_length_c 21.512
_cell_angle_alpha 90.00
_cell_angle_beta 90.00
_cell_angle_gamma 90.00
_symmetry_space_group_name_H-M 'I m m m'
_symmetry_Int_Tables_number 71
_symmetry_space_group_name_Hall '-I 2 2'
loop_
_atom_site_label
_atom_site_type_symbol
_atom_site_fract_x
_atom_site_fract_y
_atom_site_fract_z
Th1 Th 0.000 0.000 0.000
Th2 Th 0.000 0.000 0.199
Th3 Th 0.000 0.000 0.398
As1 As 0.000 0.500 0.201
As2 As 0.000 0.500 0.400
Au1 Au 0.000 0.500 0.000
```

No. 7
# ZnGeSe3

A geometry-optimized ZnGeSe3 structure (PBE, the Alexandria database).

Results
* raw formation energy: -1.75 eV/f.u.
* relative energy among the computed polymorphs: 0 kJ/mol of formula units

Structure (CIF):
```
data_ZnGeSe3
_cell_length_a 12.934
_cell_length_b 3.793
_cell_length_c 10.975
_cell_angle_alpha 90.00
_cell_angle_beta 96.04
_cell_angle_gamma 90.00
_symmetry_space_group_name_H-M 'C 1 2/m 1'
_symmetry_Int_Tables_number 12
loop_
_symmetry_equiv_pos_as_xyz
'x,y,z'
'-x,-y,-z'
'-x,y,-z'
'x,-y,z'
'x+1/2,y+1/2,z'
'-x+1/2,-y+1/2,-z'
'-x+1/2,y+1/2,-z'
'x+1/2,-y+1/2,z'
loop_
_atom_site_label
_atom_site_type_symbol
_atom_site_fract_x
_atom_site_fract_y
_atom_site_fract_z
Zn1 Zn 0.160 0.000 0.385
Ge1 Ge 0.081 0.500 0.763
Se1 Se 0.105 0.500 0.242
Se2 Se 0.146 0.500 0.565
Se3 Se 0.147 0.000 0.886
```